(1)
A geometry-optimized Fe2HgAs structure, computed with PBE-GGA.

Unit cell a=3.0390 b=3.0390 c=6.6028 alpha=90.00 beta=90.00 gamma=90.00
Element x y z (fractional)
1 Fe 0.0000 0.0000 0.1969
2 Fe 0.0000 0.0000 0.8031
3 Hg 0.5000 0.5000 0.5000
4 As 0.5000 0.5000 0.0000

DFT formation energy: 0.265 eV per atom



(2)
A geometry-optimized TbTaRh2 structure, computed with PBE-GGA.

Unit cell a=4.8486 b=4.8486 c=3.0542 alpha=90.00 beta=90.00 gamma=90.00
Element x y z (fractional)
1 Tb 0.0000 0.0000 0.0000
2 Ta 0.5000 0.5000 0.0000
3 Rh 0.0000 0.5000 0.5000
4 Rh 0.5000 0.0000 0.5000

DFT formation energy: -0.483 eV per atom



Among the records above, which one has the lowest DFT formation energy?
TbTaRh2